[1]
Computed, not measured: a geometry-optimized ScZnFePb structure at the PBE-GGA level of DFT.

* crystal system: cubic
* raw total energy: -4.7015 eV/atom
* relative energy among the computed polymorphs: 0.40 eV/f.u.

a b c (Å): 4.7286 4.7286 4.7286
angles (deg): 60.00 60.00 60.00
Sites, in units of the cell vectors:
Fe 0.5000 0.5000 0.5000
Pb 0.0000 0.0000 0.0000
Sc 0.2500 0.2500 0.2500
Zn 0.7500 0.7500 0.7500

[2]
Computed, not measured: a geometry-optimized ZrScFePb structure at the PBE-GGA level of DFT.

* crystal system: cubic
* raw total energy: -6.5972 eV/atom
* relative energy among the computed polymorphs: 0.00 eV/f.u.

a b c (Å): 4.7311 4.7311 4.7311
angles (deg): 60.00 60.00 60.00
Sites, in units of the cell vectors:
Fe 0.7500 0.7500 0.7500
Pb 0.0000 0.0000 0.0000
Sc 0.2500 0.2500 0.2500
Zr 0.5000 0.5000 0.5000